1.
NdB4Pt: relaxed, PBE-GGA.

Its total magnetization is 0.00 μB per atom. The uncorrected energy comes out at -6.280 eV per atom. For the volume, the calculation gives 69.4 Å³/f.u.

The structure belongs to space group Immm (No. 71); the cell edges are 3.1618, 5.3071 and 8.2750 Å and the angles 90.00°, 90.00° and 90.00°. The distinct sites, in fractional coordinates, are Nd at (0.0000, 0.0000, 0.0000), B at (0.0000, 0.3232, 0.2582) and Pt at (0.0000, 0.0000, 0.5000).

2.
HfGaCuMo: relaxed, PBE-GGA.

Its total magnetization is 0.00 μB per atom. The offset from the most stable computed form is 0 meV/atom. For the volume, the calculation gives 64.6 Å³/f.u.

The structure belongs to space group F-43m (No. 216); the cell edges are 6.3693, 6.3693 and 6.3693 Å and the angles 90.00°, 90.00° and 90.00°. The distinct sites, in fractional coordinates, are Hf at (0.0000, 0.0000, 0.0000), Ga at (0.0000, 0.0000, 0.5000), Cu at (0.2500, 0.2500, 0.7500) and Mo at (0.2500, 0.2500, 0.2500).

3.
Pm3TlC: relaxed, PBE-GGA.

Its total magnetization is 0.00 μB per atom. The uncorrected energy comes out at -5.487 eV per atom. For the volume, the calculation gives 131.5 Å³/f.u.

The structure belongs to space group Pm-3m (No. 221); the cell edges are 5.0850, 5.0850 and 5.0850 Å and the angles 90.00°, 90.00° and 90.00°. The distinct sites, in fractional coordinates, are Pm at (0.0000, 0.0000, 0.5000), Tl at (0.5000, 0.5000, 0.5000) and C at (0.0000, 0.0000, 0.0000).

4.
NdGdMg2: relaxed, PBE-GGA.

Its total magnetization is 0.00 μB per atom. The uncorrected energy comes out at -3.228 eV per atom. For the volume, the calculation gives 113.7 Å³/f.u.

The structure belongs to space group Pmm2 (No. 25); the cell edges are 3.8133, 5.4610 and 5.4612 Å and the angles 90.00°, 90.00° and 90.00°. The distinct sites, in fractional coordinates, are Nd at (0.0000, 0.0000, 0.0000), Gd at (0.0000, 0.5000, 0.5038), Mg at (0.5000, 0.0000, 0.4992) and Mg at (0.5000, 0.5000, 0.0047).

5.
SnPd3Au3: relaxed, PBE-GGA.

The offset from the most stable computed form is 0 meV/atom. For the volume, the calculation gives 129.6 Å³/f.u.

The structure belongs to space group R-3m (No. 166, hexagonal axes); the cell edges are 5.6757, 5.6757 and 69.6676 Å and the angles 90.00°, 90.00° and 120.00°. The distinct sites, in fractional coordinates, are Sn at (0.0000, 0.0000, 0.0000), Sn at (0.0000, 0.0000, 0.2993), Sn at (0.0000, 0.0000, 0.3992), Pd at (0.0000, 0.5000, 0.0000), Pd at (0.0014, 0.5007, 0.7001), Pd at (0.0032, 0.5016, 0.5993), Au at (0.0001, 0.5001, 0.1995), Au at (0.0000, 0.5000, 0.5000) and Au at (0.0056, 0.5028, 0.8990).

6.
TbLuGe2Au2: relaxed, PBE-GGA.

Its total magnetization is 0.00 μB per atom. The uncorrected energy comes out at -4.968 eV per atom. For the volume, the calculation gives 125.2 Å³/f.u.

The structure belongs to space group P3m1 (No. 156); the cell edges are 4.4650, 4.4650 and 7.2516 Å and the angles 90.00°, 90.00° and 120.00°. The distinct sites, in fractional coordinates, are Tb at (0.0000, 0.0000, 0.0000), Lu at (0.0000, 0.0000, 0.4990), Ge at (0.3333, 0.6667, 0.2097), Ge at (0.6667, 0.3333, 0.7035), Au at (0.3333, 0.6667, 0.7825) and Au at (0.6667, 0.3333, 0.3037).

7.
Te2WCl6: relaxed, PBE-GGA.

Its total magnetization is 0.11 μB per atom. The uncorrected energy comes out at -4.004 eV per atom. For the volume, the calculation gives 270.2 Å³/f.u.

The structure belongs to space group P2_1/c (No. 14); the cell edges are 6.7050, 12.8728 and 12.5656 Å and the angles 90.00°, 94.79° and 90.00°. The distinct sites, in fractional coordinates, are Te at (0.1498, 0.1293, 0.0016), Te at (0.1648, 0.5474, 0.6229), W at (0.3584, 0.6343, 0.1673), Cl at (0.0675, 0.7272, 0.2118), Cl at (0.1656, 0.0116, 0.6327), Cl at (0.3030, 0.6915, 0.9939), Cl at (0.3526, 0.0500, 0.3690), Cl at (0.4113, 0.5802, 0.3486) and Cl at (0.4585, 0.2159, 0.7839).

8.
Tm2InIr: relaxed, PBE-GGA.

Its total magnetization is 0.00 μB per atom. The uncorrected energy comes out at -5.852 eV per atom. For the volume, the calculation gives 90.7 Å³/f.u.

The structure belongs to space group P4/mmm (No. 123); the cell edges are 3.4116, 3.4116 and 7.7889 Å and the angles 90.00°, 90.00° and 90.00°. The distinct sites, in fractional coordinates, are Tm at (0.0000, 0.0000, 0.2113), In at (0.5000, 0.5000, 0.5000) and Ir at (0.5000, 0.5000, 0.0000).

9.
GdPdO3: relaxed, PBE-GGA.

Its total magnetization is 0.00 μB per atom. The uncorrected energy comes out at -6.784 eV per atom. For the volume, the calculation gives 60.2 Å³/f.u.

The structure belongs to space group R-3c (No. 167, hexagonal axes); the cell edges are 5.7464, 5.7464 and 12.6278 Å and the angles 90.00°, 90.00° and 120.00°. The distinct sites, in fractional coordinates, are Gd at (0.0000, 0.0000, 0.2500), Pd at (0.0000, 0.0000, 0.0000) and O at (0.0000, 0.3898, 0.2500).

10.
Cd2SiNiAs4: relaxed, PBE-GGA.

Its total magnetization is 0.00 μB per atom. The uncorrected energy comes out at -3.940 eV per atom. For the volume, the calculation gives 190.9 Å³/f.u.

The structure belongs to space group I-4 (No. 82); the cell edges are 5.8285, 5.8285 and 11.2393 Å and the angles 90.00°, 90.00° and 90.00°. The distinct sites, in fractional coordinates, are Cd at (0.0000, 0.0000, 0.0000), Cd at (0.0000, 0.5000, 0.2500), Si at (0.0000, 0.5000, 0.7500), Ni at (0.0000, 0.0000, 0.5000) and As at (0.1967, 0.2395, 0.6226).

11.
ThCuB4: relaxed, PBE-GGA.

Its total magnetization is 0.00 μB per atom. The offset from the most stable computed form is 0 meV/atom. For the volume, the calculation gives 63.3 Å³/f.u.

The structure belongs to space group P6/mmm (No. 191); the cell edges are 3.2463, 3.2463 and 6.9364 Å and the angles 90.00°, 90.00° and 120.00°. The distinct sites, in fractional coordinates, are Th at (0.0000, 0.0000, 0.0000), Cu at (0.0000, 0.0000, 0.5000) and B at (0.3333, 0.6667, 0.2947).

12.
RbAg2Sn2: relaxed, PBE-GGA.

The uncorrected energy comes out at -2.998 eV per atom. For the volume, the calculation gives 139.4 Å³/f.u.

The structure belongs to space group I4/mmm (No. 139); the cell edges are 4.9413, 4.9413 and 11.4190 Å and the angles 90.00°, 90.00° and 90.00°. The distinct sites, in fractional coordinates, are Rb at (0.0000, 0.0000, 0.0000), Ag at (0.0000, 0.5000, 0.2500) and Sn at (0.0000, 0.0000, 0.3704).